Nd10DyHo6 | PBE-GGA | relaxed

Properties
Volume = 34.091 Å³/atom
Energy of formation from the pure elements = 127 meV/atom

```
Nd10DyHo6
1.0
6.9135 0.0000 0.0000
0.0000 8.5204 -4.9192
0.0000 0.0000 9.8385
Nd Dy Ho
10 1 6
Direct
0.1837 0.2748 0.2748
0.1837 0.0000 0.7252
0.8163 0.7252 0.7252
0.8163 0.2748 0.0000
0.5000 0.6667 0.3333
0.8163 0.0000 0.2748
0.0000 0.3333 0.6667
0.1837 0.7252 0.0000
0.0000 0.6667 0.3333
0.5000 0.3333 0.6667
0.5000 0.0000 0.0000
0.6900 0.3699 0.3699
0.3100 0.3699 0.0000
0.3100 0.0000 0.3699
0.3100 0.6301 0.6301
0.6900 0.6301 0.0000
0.6900 0.0000 0.6301
```

---

CaLaTmCd | PBE-GGA | relaxed

Properties
Volume = 31.059 Å³/atom
Energy of formation from the pure elements = -14 meV/atom

```
CaLaTmCd
1.0
5.6008 0.0000 0.0000
2.8004 4.8505 0.0000
2.8004 1.6168 4.5731
Cd Tm La Ca
1 1 1 1
Direct
0.7500 0.7500 0.7500
0.5000 0.5000 0.5000
0.0000 0.0000 0.0000
0.2500 0.2500 0.2500
```

---

NiGe2Pd | PBE-GGA | relaxed

Properties
Volume = 15.157 Å³/atom
Energy of formation from the pure elements = -374 meV/atom
E above lowest polymorph = 0.0 kJ per mole of atoms

```
NiGe2Pd
1.0
-1.0658 -2.1337 -2.5386
3.1322 -4.1752 2.1944
-4.7638 -1.7497 3.4706
Pd Ni Ge
2 2 4
Direct
0.0000 0.5015 0.4347
0.0000 0.0015 0.5653
0.5000 0.9941 0.9455
0.5000 0.4941 0.0545
0.0000 0.1892 0.1501
0.5000 0.3152 0.6893
0.0000 0.6892 0.8499
0.5000 0.8152 0.3107
```

---

Li4CuF7 | PBE-GGA | relaxed

Properties
Formation energy (no corrections) = -2.37 eV per atom
Volume = 11.975 Å³/atom
E above lowest polymorph = 3.8 kJ per mole of atoms

```
Li4CuF7
1.0
7.5478 0.0492 0.2109
2.3542 7.1714 0.2109
0.9812 0.7155 5.3626
F Li Cu
14 8 2
Direct
0.2118 0.3947 0.0315
0.3288 0.8424 0.9122
0.6053 0.7882 0.4685
0.7882 0.6053 0.9685
0.9825 0.8188 0.1741
0.0175 0.1812 0.8259
0.8188 0.9825 0.6741
0.1576 0.6712 0.5878
0.4418 0.5582 0.2500
0.1812 0.0175 0.3259
0.3947 0.2118 0.5315
0.5582 0.4418 0.7500
0.8424 0.3288 0.4122
0.6712 0.1576 0.0878
0.4206 0.3176 0.1955
0.9609 0.7387 0.8652
0.2613 0.0391 0.6348
0.7387 0.9609 0.3652
0.0391 0.2613 0.1348
0.6824 0.5794 0.3045
0.3176 0.4206 0.6955
0.5794 0.6824 0.8045
0.2277 0.7723 0.2500
0.7723 0.2277 0.7500
```

---

MgSiIrRh | PBE-GGA | relaxed

Properties
Formation energy (no corrections) = -0.66 eV per atom
Volume = 13.655 Å³/atom

```
MgSiIrRh
1.0
4.2588 0.0000 0.0000
2.1294 3.6882 0.0000
2.1294 1.2294 3.4773
Si Rh Mg Ir
1 1 1 1
Direct
0.7500 0.7500 0.7500
0.0000 0.0000 0.0000
0.2500 0.2500 0.2500
0.5000 0.5000 0.5000
```

---

ScSnSbTe2 | PBE-GGA | relaxed

Properties
Formation energy (no corrections) = -0.08 eV per atom
Volume = 33.748 Å³/atom
E above lowest polymorph = 0.0 kJ per mole of atoms

```
ScSnSbTe2
1.0
5.5226 0.0000 0.0000
0.0000 5.5226 0.0000
0.0000 0.0000 5.5327
Sc Sn Sb Te
1 1 1 2
Direct
0.0000 0.0000 0.0000
0.5000 0.5000 0.5000
0.0000 0.0000 0.5000
0.0000 0.5000 0.0000
0.5000 0.0000 0.0000
```